No. 1
Here is an optimized crystal structure of LaScMo2 from Alexandria via LeMat-Bulk. Energies are from PBE-GGA.

Lattice parameters (Å, degrees): 4.075 4.075 4.965 90.00 90.00 90.00
Space group P4/mmm (No. 123)
Inequivalent atoms, fractional coordinates:
La 0.000 0.000 0.000 [1 per cell]
Sc 0.500 0.500 0.000 [1 per cell]
Mo 0.000 0.500 0.500 [2 per cell]

Properties
For the total energy, the calculation gives -30.29 eV per cell. Its polymorph energy (0 for the lowest one) is 208.3 kJ/mol of formula units. As for the energy of formation: 0.6566 eV per atom.

=====

No. 2
Here is an optimized crystal structure of La2ScVMo from Alexandria via LeMat-Bulk. Energies are from PBE-GGA.

Lattice parameters (Å, degrees): 5.550 5.550 4.696 90.00 90.00 90.00
Space group P4/mmm (No. 123)
Inequivalent atoms, fractional coordinates:
La 0.000 0.500 0.000 [2 per cell]
Sc 0.000 0.000 0.500 [1 per cell]
V 0.500 0.500 0.500 [1 per cell]
Mo 0.500 0.500 0.000 [1 per cell]

Properties
For the total energy, the calculation gives -32.78 eV per cell. As for the energy of formation: 0.6705 eV per atom.

=====

No. 3
Here is an optimized crystal structure of La2ScZnMo from Alexandria via LeMat-Bulk. Energies are from PBE-GGA.

Lattice parameters (Å, degrees): 5.468 5.468 4.833 90.00 90.00 90.00
Space group P4/mmm (No. 123)
Inequivalent atoms, fractional coordinates:
La 0.000 0.500 0.000 [2 per cell]
Sc 0.000 0.000 0.000 [1 per cell]
Zn 0.000 0.000 0.500 [1 per cell]
Mo 0.500 0.500 0.500 [1 per cell]

Properties
For the total energy, the calculation gives -21.38 eV per cell. As for the energy of formation: 1.3826 eV per atom.

=====

No. 4
Here is an optimized crystal structure of La2MoSe from Alexandria via LeMat-Bulk. Energies are from PBE-GGA.

Lattice parameters (Å, degrees): 3.435 3.435 8.784 90.00 90.00 90.00
Space group P4mm (No. 99)
Inequivalent atoms, fractional coordinates:
La 0.000 0.000 0.000 [1 per cell]
La 0.500 0.500 0.385 [1 per cell]
Mo 0.000 0.000 0.633 [1 per cell]
Se 0.500 0.500 0.756 [1 per cell]

Properties
For the total energy, the calculation gives -24.81 eV per cell. Its uncorrected formation energy is -0.1604 eV/atom.

=====

Look up the total energy of the first one. -30.29 eV per cell

=====

Among the records above, which one has the highest total energy? La2ScZnMo

=====

total energy of number 4 (La2MoSe)? -24.81 eV per cell